Model A:
16
Lattice="-1.2539 -0.4731 -6.1103 -5.4051 -1.3279 1.2120 -1.9704 9.9891 2.1568" Properties=species:S:1:pos:R:3 comment="HfNbTl2, relaxed, DFT GGA-PBE" sg=C2 pbc="T T T"
Tl -4.0026 7.1830 -0.2160
Tl -4.0583 4.2396 1.7675
Tl -6.8522 5.6949 -1.1689
Tl -5.9022 -1.5325 -1.8723
Tl -5.7200 1.5246 -0.6885
Tl -0.3705 -0.0910 0.0831
Tl -3.1645 1.3643 -2.8533
Tl -4.1848 4.1260 -1.3999
Hf -4.4939 6.5150 -3.3756
Hf -6.2654 6.3864 1.9692
Hf -2.5777 2.0558 0.2848
Hf -6.2113 0.8566 -3.8480
Nb -2.2957 4.3678 -3.7046
Nb -5.9834 8.6984 -2.0202
Nb -3.3519 -0.6837 -0.5630
Nb -1.6345 4.9748 -0.0906

=====

Model B:
16
Lattice="6.2894 0.0000 0.0000 0.0000 7.4922 0.0000 0.0000 0.0000 7.4548" Properties=species:S:1:pos:R:3 comment="HfNbTl2, relaxed, DFT GGA-PBE" sg=Ima2 pbc="T T T"
Tl 0.0000 0.0000 7.1095
Tl 4.7171 5.2737 1.1984
Tl 0.0000 3.7461 3.3820
Tl 1.5724 2.2186 1.1984
Tl 4.7171 5.9647 4.9258
Tl 3.1447 3.7461 3.3820
Tl 1.5724 1.5275 4.9258
Tl 3.1447 0.0000 7.1095
Hf 1.5724 5.8606 4.8761
Hf 1.5724 5.3778 1.1487
Hf 4.7171 2.1145 1.1487
Hf 4.7171 1.6317 4.8761
Nb 3.1447 3.7461 6.4598
Nb 3.1447 0.0000 2.7324
Nb 0.0000 3.7461 6.4598
Nb 0.0000 0.0000 2.7324

=====

The data favor model A; the next most stable structure lies 6 meV/atom above it.

=====

Model A:
16
Lattice="7.4539 0.0000 0.0000 0.0000 6.1996 0.0000 0.0000 0.0000 7.4930" Properties=species:S:1:pos:R:3 comment="HfNbTl2, relaxed, DFT GGA-PBE" sg=I2_12_12_1 pbc="T T T"
Nb 1.5272 3.0998 1.8733
Nb 2.1997 3.0998 5.6198
Nb 5.9267 0.0000 1.8733
Nb 5.2542 0.0000 5.6198
Hf 3.7270 1.5499 3.4054
Hf 0.0000 4.6497 7.1519
Hf 3.7270 4.6497 0.3411
Hf 0.0000 1.5499 4.0876
Tl 5.1991 3.0998 5.6198
Tl 3.7270 1.5499 0.3712
Tl 0.0000 4.6497 4.1177
Tl 1.4721 0.0000 1.8733
Tl 3.7270 4.6497 3.3753
Tl 0.0000 1.5499 7.1218
Tl 2.2548 0.0000 5.6198
Tl 5.9818 3.0998 1.8733

=====

Model B:
16
Lattice="-5.3667 -0.7676 1.2298 1.4717 -0.7467 5.9559 0.8430 10.3307 1.0869" Properties=species:S:1:pos:R:3 comment="HfNbTl2, relaxed, DFT GGA-PBE" sg=C2 pbc="T T T"
Hf -0.7358 3.7630 0.8232
Hf -3.7100 5.7607 1.8086
Hf 0.4215 8.5550 4.3446
Hf -3.3957 0.2219 4.2431
Tl -0.0375 5.7157 5.6269
Tl 0.0588 3.3296 3.6749
Tl -3.0808 5.4717 4.7192
Tl -1.1949 0.9237 2.1056
Tl -2.2368 2.7062 5.7931
Tl -4.2382 0.6796 1.1979
Tl -0.2555 8.8683 1.2404
Tl -2.5511 8.2449 3.3586
Nb -0.6897 6.0448 2.5452
Nb -0.3753 0.5061 4.9797
Nb -1.9346 7.9338 6.2962
Nb -3.0919 3.1418 2.7748

=====

Model C:
4
Lattice="-0.2467 0.5944 4.9970 2.3146 -2.1810 0.3737 3.7895 3.9727 -0.2855" Properties=species:S:1:pos:R:3 comment="HfNbTl2, relaxed, DFT GGA-PBE" sg=Pmm2 pbc="T T T"
Hf 3.8954 2.2065 2.4698
Tl 1.5289 -0.7010 0.1588
Tl 2.2361 2.3442 -0.1684
Nb 0.8834 1.3526 2.4227

=====

Model D:
16
Lattice="6.1212 0.0000 0.0010 0.0000 10.5531 0.0000 -3.1136 0.0000 5.3661" Properties=species:S:1:pos:R:3 comment="HfNbTl2, relaxed, DFT GGA-PBE" sg=Cc pbc="T T T"
Tl 4.2794 2.9098 2.7469
Tl 2.7756 7.6434 0.0633
Tl 5.8363 8.1864 0.0638
Tl -0.0276 10.2743 3.8193
Tl 1.2188 2.3668 2.7464
Tl 4.5899 0.2789 1.1367
Tl 3.0331 5.5554 3.8198
Tl 1.5293 4.9977 1.1362
Hf 1.5575 10.3066 1.1593
Hf 3.0613 0.2465 3.8428
Hf 4.6181 5.5231 1.1598
Hf 0.0007 5.0300 3.8424
Nb 5.8163 2.8627 0.0419
Nb 2.7557 2.4139 0.0414
Nb 1.1989 7.6905 2.7245
Nb 4.2595 8.1392 2.7249

=====

The data favor model A; the next most stable structure lies 17 meV/atom above it.

=====

Model A:
5
Lattice="-3.9934 -0.3057 1.0298 0.8407 -3.3571 2.2636 -0.4947 2.0433 6.9915" Properties=species:S:1:pos:R:3 comment="Hf2Nb2Tl, relaxed, DFT GGA-PBE" sg=I4/mmm pbc="T T T"
Nb -2.2733 -0.5130 7.6383
Nb -1.3740 -1.1066 2.6466
Tl 0.0000 0.0000 0.0000
Hf -0.6151 -1.5726 5.4509
Hf -3.0322 -0.0469 4.8340

=====

Model B:
10
Lattice="-4.7404 5.6334 1.2752 -3.2948 -3.9924 5.3888 2.4518 1.4762 2.5928" Properties=species:S:1:pos:R:3 comment="Hf2Nb2Tl, relaxed, DFT GGA-PBE" sg=P4/mbm pbc="T T T"
Hf -4.6859 1.2058 6.6205
Hf -1.7933 -0.9779 5.1285
Hf -3.7901 4.0952 4.1283
Hf -0.8975 1.9115 2.6363
Nb -4.6670 -1.3795 5.1987
Nb -3.3682 3.0205 1.4653
Nb -6.2083 2.4417 4.4805
Nb -1.8270 -0.8006 2.1835
Tl -4.0176 0.8205 3.3320
Tl 0.0000 0.0000 0.0000

=====

The data favor model B; the next most stable structure lies 514 meV/atom above it.

=====

Model A:
10
Lattice="-4.7323 -6.1768 3.1851 3.6080 1.1099 7.5129 -2.1778 2.0515 0.7428" Properties=species:S:1:pos:R:3 comment="HfNb2Tl2, relaxed, DFT GGA-PBE" sg=P4/mbm pbc="T T T"
Hf -0.5622 -2.5334 5.3490
Hf 0.0000 0.0000 0.0000
Nb -1.9813 -4.7945 7.4330
Nb 0.8570 -0.2724 3.2651
Nb -2.4938 -3.6637 2.8072
Nb 1.3695 -1.4032 7.8908
Tl -1.3667 -2.2804 8.6883
Tl -1.9354 -0.7349 2.7525
Tl -3.8123 -3.6728 5.3637
Tl 0.5102 0.6575 6.0771

=====

Model B:
5
Lattice="4.2418 0.0000 0.0000 0.0000 4.2418 0.0000 2.1209 2.1209 6.5519" Properties=species:S:1:pos:R:3 comment="HfNb2Tl2, relaxed, DFT GGA-PBE" sg=I4/mmm pbc="T T T"
Nb 4.2418 4.2418 5.3929
Nb 2.1209 2.1209 1.1590
Hf 0.0000 0.0000 0.0000
Tl 4.2418 2.1209 3.2760
Tl 2.1209 4.2418 3.2760

=====

The data favor model A; the next most stable structure lies 172 meV/atom above it.

=====

Model A:
4
Lattice="0.6788 -4.2655 -1.8342 1.5033 -3.5130 2.7236 -2.9014 -3.5183 1.1057" Properties=species:S:1:pos:R:3 comment="HfNb2W, relaxed, DFT GGA-PBE" sg=Fm-3m pbc="T T T"
Hf 0.0000 0.0000 0.0000
Nb -0.1798 -2.8242 0.4988
Nb -0.5395 -8.4726 1.4963
W -0.3597 -5.6484 0.9976

=====

Model B:
8
Lattice="-6.5150 -2.3267 -2.8276 -2.1917 -2.1456 6.8152 -5.4700 0.3410 2.4460" Properties=species:S:1:pos:R:3 comment="HfNb2W, relaxed, DFT GGA-PBE" sg=I-42d pbc="T T T"
W 0.0000 0.0000 0.0000
W -8.1691 -2.1110 0.8061
Hf -4.3533 -2.2362 1.9938
Hf -6.0075 -2.0204 5.6275
Nb -5.8856 -1.6987 -0.3786
Nb -7.3095 -1.3647 3.1496
Nb -3.3793 -1.4851 4.5923
Nb -11.7788 -3.7143 5.5039

=====

Model C:
4
Lattice="3.1280 0.0000 0.0000 1.5640 2.7089 0.0000 1.5640 0.9030 9.0120" Properties=species:S:1:pos:R:3 comment="HfNb2W, relaxed, DFT GGA-PBE" sg=R-3m pbc="T T T"
W 0.0000 0.0000 0.0000
Nb 4.6920 2.7089 6.9538
Nb 1.5640 0.9030 2.0582
Hf 3.1280 1.8060 4.5060

=====

The data favor model A; the next most stable structure lies 231 meV/atom above it.

=====

Model A:
3
Lattice="2.9508 0.0000 0.0000 0.0000 4.6565 0.0000 0.0000 -2.3283 4.0327" Properties=species:S:1:pos:R:3 comment="HfNbW, relaxed, DFT GGA-PBE" sg=P3m1 pbc="T T T"
W 1.0680 2.3283 1.3442
Nb 1.8655 0.0000 2.6885
Hf 0.0173 0.0000 0.0000

=====

Model B:
6
Lattice="-1.2098 -0.7492 5.2666 -3.2782 -2.1020 -3.8206 4.2700 -2.5398 -2.2537" Properties=species:S:1:pos:R:3 comment="HfNbW, relaxed, DFT GGA-PBE" sg=Imma pbc="T T T"
Nb 0.4959 -2.3209 -3.0371
Nb 1.5301 -1.6445 1.5065
Hf -3.2435 -2.7115 0.3345
Hf 3.0255 -2.6794 -1.1422
W -0.1090 -2.6955 -0.4038
W -1.6391 -1.0510 -1.9103

=====

The data favor model B; the next most stable structure lies 98 meV/atom above it.